# 1
Density functional theory data (GGA-PBE) for crystalline TaFe2Co at its relaxed geometry.

a = 4.828 Å, b = 4.861 Å, c = 2.649 Å
α = 79.34°, β = 79.86°, γ = 116.66°
Each line ends with the local moment (μB).
Fractional coordinates of all 4 atoms:
Co  0.500  0.500  0.000  1.29
Fe  0.000  0.000  0.000  2.17
Fe  0.500  0.000  0.500  2.17
Ta  0.000  0.500  0.500  -0.34

The value obtained for the total magnetic moment is 5.11 μB/cell. Its energy relative to the elements is 0.05 eV per atom. For the electronic total energy, the calculation gives -8.924 eV per atom.

# 2
Density functional theory data (GGA-PBE) for crystalline K3Ag2PdBr9 at its relaxed geometry.

a = 7.633 Å, b = 7.633 Å, c = 9.206 Å
α = 90.00°, β = 90.00°, γ = 120.00°
Fractional coordinates of all 15 atoms:
K  0.333  0.667  0.689
K  0.000  0.000  0.000
K  0.667  0.333  0.311
Ag  0.333  0.667  0.172
Ag  0.667  0.333  0.828
Pd  0.000  0.000  0.500
Br  0.841  0.159  0.661
Br  0.841  0.681  0.661
Br  0.319  0.159  0.661
Br  0.681  0.841  0.339
Br  0.159  0.319  0.339
Br  0.159  0.841  0.339
Br  0.500  0.000  0.000
Br  0.000  0.500  0.000
Br  0.500  0.500  0.000

The value obtained for the total magnetic moment is 0.00 μB/cell. Its energy relative to the elements, uncorrected is -0.8625 eV per atom. For the electronic total energy, the calculation gives -2.812 eV per atom.

# 3
Density functional theory data (GGA-PBE) for crystalline SiOsSe2 at its relaxed geometry.

a = 3.014 Å, b = 3.014 Å, c = 9.299 Å
α = 90.00°, β = 90.00°, γ = 122.56°
Fractional coordinates of all 4 atoms:
Os  0.500  0.500  0.750
Se  0.000  0.000  0.974
Se  0.000  0.000  0.526
Si  0.500  0.500  0.250

The value obtained for the total magnetic moment is 0.00 μB/cell. Its energy relative to the elements, uncorrected is 0.7477 eV per atom. For the electronic total energy, the calculation gives -5.158 eV per atom.

# 4
Density functional theory data (GGA-PBE) for crystalline Zr2MnMo at its relaxed geometry.

a = 5.618 Å, b = 5.302 Å, c = 2.960 Å
α = 78.26°, β = 81.78°, γ = 119.33°
Each line ends with the local moment (μB).
Fractional coordinates of all 4 atoms:
Mn  0.000  0.500  0.500  2.23
Mo  0.500  0.500  0.000  -0.15
Zr  0.000  0.000  0.000  -0.21
Zr  0.500  0.000  0.500  -0.21

The value obtained for the total magnetic moment is 1.54 μB/cell. Its energy relative to the elements is 0.21 eV per atom. For the electronic total energy, the calculation gives -9.067 eV per atom.

# 5
Density functional theory data (GGA-PBE) for crystalline Rb2PdI4 at its relaxed geometry.

a = 7.644 Å, b = 7.644 Å, c = 8.253 Å
α = 122.47°, β = 122.47°, γ = 80.84°
Fractional coordinates of all 7 atoms:
Rb  0.250  0.750  0.500
Rb  0.750  0.250  0.500
Pd  0.000  0.000  0.000
I  0.772  0.772  0.000
I  0.228  0.228  0.000
I  0.227  0.227  0.454
I  0.773  0.773  0.546

The value obtained for the total magnetic moment is 0.00 μB/cell. Its energy relative to the elements, uncorrected is -0.9582 eV per atom. For the electronic total energy, the calculation gives -2.862 eV per atom.

# 6
Density functional theory data (GGA-PBE) for crystalline Ca2Ga5Cu5 at its relaxed geometry.

a = 4.056 Å, b = 5.302 Å, c = 9.466 Å
α = 90.00°, β = 90.00°, γ = 90.00°
Fractional coordinates of all 12 atoms:
Ca  0.000  0.500  0.000
Ca  0.000  0.000  0.500
Ga  0.000  0.500  0.336
Ga  0.000  0.000  0.816
Ga  0.000  0.000  0.184
Ga  0.000  0.500  0.664
Ga  0.500  0.000  0.000
Cu  0.500  0.500  0.500
Cu  0.500  0.749  0.255
Cu  0.500  0.251  0.745
Cu  0.500  0.251  0.255
Cu  0.500  0.749  0.745

The value obtained for the total magnetic moment is 0.00 μB/cell. Its energy relative to the elements is -0.26 eV per atom. For the electronic total energy, the calculation gives -3.562 eV per atom.

# 7
Density functional theory data (GGA-PBE) for crystalline TlZn4Cu at its relaxed geometry.

a = 5.256 Å, b = 5.256 Å, c = 5.256 Å
α = 60.00°, β = 60.00°, γ = 60.00°
Fractional coordinates of all 6 atoms:
Tl  0.000  0.000  0.000
Zn  0.624  0.624  0.129
Zn  0.624  0.129  0.624
Zn  0.624  0.624  0.624
Zn  0.129  0.624  0.624
Cu  0.250  0.250  0.250

The value obtained for the total magnetic moment is 0.00 μB/cell. Its energy relative to the elements is 0.18 eV per atom. For the electronic total energy, the calculation gives -1.748 eV per atom.

# 8
Density functional theory data (GGA-PBE) for crystalline Tc3PC at its relaxed geometry.

a = 4.042 Å, b = 4.042 Å, c = 4.042 Å
α = 90.00°, β = 90.00°, γ = 90.00°
Each line ends with the local moment (μB).
Fractional coordinates of all 5 atoms:
P  0.500  0.500  0.500  -0.01
C  0.000  0.000  0.000  -0.03
Tc  0.000  0.500  0.000  0.43
Tc  0.000  0.000  0.500  0.54
Tc  0.500  0.000  0.000  0.37

The value obtained for the total magnetic moment is 1.41 μB/cell. Its energy relative to the elements is 0.37 eV per atom. For the electronic total energy, the calculation gives -8.777 eV per atom.

# 9
Density functional theory data (GGA-PBE) for crystalline ReS2NO at its relaxed geometry.

a = 3.954 Å, b = 3.954 Å, c = 3.758 Å
α = 90.00°, β = 90.00°, γ = 90.00°
Each line ends with the local moment (μB).
Fractional coordinates of all 5 atoms:
Re  0.500  0.500  0.500  0.10
S  0.000  0.500  0.000  0.00
S  0.500  0.000  0.000  0.00
O  0.000  0.000  0.000  0.00
N  0.000  0.000  0.500  -0.01

The value obtained for the total magnetic moment is 0.09 μB/cell. Its energy relative to the elements, uncorrected is 1.6929 eV per atom. For the electronic total energy, the calculation gives -5.104 eV per atom.

# 10
Density functional theory data (GGA-PBE) for crystalline ZrCdHg2 at its relaxed geometry.

a = 3.233 Å, b = 3.233 Å, c = 10.158 Å
α = 80.84°, β = 80.84°, γ = 60.00°
Fractional coordinates of all 4 atoms:
Zr  0.500  0.500  0.500
Cd  0.667  0.667  0.000
Hg  0.084  0.084  0.747
Hg  0.249  0.249  0.253

The value obtained for the total magnetic moment is 0.00 μB/cell. Its energy relative to the elements is -0.01 eV per atom. For the electronic total energy, the calculation gives -2.531 eV per atom.

# 11
Density functional theory data (GGA-PBE) for crystalline BaNaZn at its relaxed geometry.

a = 4.608 Å, b = 4.607 Å, c = 13.579 Å
α = 90.00°, β = 89.99°, γ = 60.00°
Fractional coordinates of all 6 atoms:
Ba  0.000  0.500  0.839
Ba  0.000  0.500  0.161
Na  0.667  0.167  0.410
Na  0.333  0.833  0.590
Zn  0.667  0.167  0.000
Zn  0.333  0.833  0.000

The value obtained for the total magnetic moment is 0.00 μB/cell. Its energy relative to the elements is -0.08 eV per atom. For the electronic total energy, the calculation gives -1.589 eV per atom.

# 12
Density functional theory data (GGA-PBE) for crystalline TcMo2W at its relaxed geometry.

a = 5.223 Å, b = 5.223 Å, c = 5.223 Å
α = 144.90°, β = 129.45°, γ = 63.03°
Fractional coordinates of all 4 atoms:
Mo  0.001  0.001  0.000
Mo  0.754  0.254  0.500
Tc  0.498  0.498  0.000
W  0.247  0.747  0.500

The value obtained for the total magnetic moment is 0.00 μB/cell. Its energy relative to the elements is 0.03 eV per atom. For the electronic total energy, the calculation gives -11.214 eV per atom.

# 13
Density functional theory data (GGA-PBE) for crystalline Ac2IrBr at its relaxed geometry.

a = 3.693 Å, b = 3.693 Å, c = 8.690 Å
α = 90.00°, β = 90.00°, γ = 90.00°
Fractional coordinates of all 4 atoms:
Ac  0.000  0.000  0.791
Ac  0.000  0.000  0.209
Ir  0.500  0.500  0.000
Br  0.500  0.500  0.500

The value obtained for the total magnetic moment is 0.00 μB/cell. Its energy relative to the elements, uncorrected is -0.9057 eV per atom. For the electronic total energy, the calculation gives -5.593 eV per atom.

# 14
Density functional theory data (GGA-PBE) for crystalline LiDySn2 at its relaxed geometry.

a = 4.608 Å, b = 4.608 Å, c = 5.876 Å
α = 66.91°, β = 66.91°, γ = 60.00°
Fractional coordinates of all 4 atoms:
Li  0.500  0.500  0.500
Sn  0.773  0.773  0.680
Sn  0.227  0.227  0.320
Dy  0.000  0.000  0.000

The value obtained for the total magnetic moment is 0.00 μB/cell. Its energy relative to the elements is -0.44 eV per atom. For the electronic total energy, the calculation gives -4.070 eV per atom.

# 15
Density functional theory data (GGA-PBE) for crystalline Na2NiPbCl8 at its relaxed geometry.

a = 5.921 Å, b = 7.661 Å, c = 8.223 Å
α = 90.07°, β = 89.87°, γ = 120.45°
Fractional coordinates of all 12 atoms:
Na  0.501  0.500  0.751
Na  0.499  0.500  0.249
Ni  0.000  0.000  0.000
Pb  0.000  0.000  0.500
Cl  0.047  0.811  0.193
Cl  0.568  0.782  0.000
Cl  0.951  0.188  0.194
Cl  0.953  0.189  0.807
Cl  0.432  0.218  0.000
Cl  0.049  0.812  0.806
Cl  0.448  0.718  0.501
Cl  0.552  0.282  0.499

The value obtained for the total magnetic moment is 0.00 μB/cell. Its energy relative to the elements, uncorrected is -0.9916 eV per atom. For the electronic total energy, the calculation gives -3.233 eV per atom.

# 16
Density functional theory data (GGA-PBE) for crystalline Te4Au5 at its relaxed geometry.

a = 9.093 Å, b = 9.093 Å, c = 6.752 Å
α = 90.00°, β = 90.00°, γ = 120.00°
Fractional coordinates of all 18 atoms:
Te  0.000  0.000  0.000
Te  0.000  0.000  0.500
Te  0.000  0.477  0.250
Te  0.523  0.523  0.250
Te  0.477  0.000  0.250
Te  0.000  0.523  0.750
Te  0.477  0.477  0.750
Te  0.523  0.000  0.750
Au  0.000  0.760  0.250
Au  0.240  0.240  0.250
Au  0.760  0.000  0.250
Au  0.000  0.240  0.750
Au  0.760  0.760  0.750
Au  0.240  0.000  0.750
Au  0.667  0.333  0.000
Au  0.333  0.667  0.500
Au  0.333  0.667  0.000
Au  0.667  0.333  0.500

The value obtained for the total magnetic moment is 0.00 μB/cell. Its energy relative to the elements, uncorrected is 0.1945 eV per atom. For the electronic total energy, the calculation gives -3.023 eV per atom.

# 17
Density functional theory data (GGA-PBE) for crystalline Pd3PtPb2 at its relaxed geometry.

a = 5.768 Å, b = 7.629 Å, c = 6.321 Å
α = 107.72°, β = 117.14°, γ = 90.00°
Fractional coordinates of all 12 atoms:
Pd  0.750  0.250  0.000
Pd  0.250  0.750  0.000
Pd  0.138  0.069  0.273
Pd  0.865  0.431  0.727
Pd  0.135  0.569  0.273
Pd  0.862  0.931  0.727
Pt  0.751  0.750  0.000
Pt  0.249  0.250  0.000
Pb  0.662  0.581  0.326
Pb  0.664  0.081  0.326
Pb  0.336  0.919  0.674
Pb  0.338  0.419  0.674

The value obtained for the total magnetic moment is 0.00 μB/cell. Its energy relative to the elements is -0.15 eV per atom. For the electronic total energy, the calculation gives -4.992 eV per atom.

# 18
Density functional theory data (GGA-PBE) for crystalline PrAs3 at its relaxed geometry.

a = 4.038 Å, b = 4.395 Å, c = 5.891 Å
α = 90.00°, β = 90.00°, γ = 90.00°
Fractional coordinates of all 4 atoms:
Pr  0.000  0.743  0.000
As  0.500  0.265  0.000
As  0.500  0.473  0.500
As  0.000  0.851  0.500

The value obtained for the total magnetic moment is 0.00 μB/cell. Its energy relative to the elements is -0.57 eV per atom. For the electronic total energy, the calculation gives -5.249 eV per atom.

# 19
Density functional theory data (GGA-PBE) for crystalline Cd2AuF at its relaxed geometry.

a = 4.818 Å, b = 4.818 Å, c = 6.237 Å
α = 67.28°, β = 67.28°, γ = 60.00°
Fractional coordinates of all 4 atoms:
F  0.000  0.000  0.000
Au  0.500  0.500  0.500
Cd  0.130  0.130  0.609
Cd  0.870  0.870  0.391

The value obtained for the total magnetic moment is 0.00 μB/cell. Its energy relative to the elements, uncorrected is -0.7466 eV per atom. For the electronic total energy, the calculation gives -2.491 eV per atom.

# 20
Density functional theory data (GGA-PBE) for crystalline V2PdRh at its relaxed geometry.

a = 3.254 Å, b = 3.254 Å, c = 5.412 Å
α = 90.00°, β = 90.00°, γ = 90.00°
Fractional coordinates of all 4 atoms:
Rh  0.500  0.500  0.500
Pd  0.500  0.500  0.000
V  0.000  0.000  0.732
V  0.000  0.000  0.268

The value obtained for the total magnetic moment is 0.00 μB/cell. Its energy relative to the elements is -0.12 eV per atom. For the electronic total energy, the calculation gives -7.818 eV per atom.